First-principles (PBE) data for crystalline La8SnTe4Se3 at its relaxed geometry, as listed in the Alexandria database.

## Properties
The density of states at the Fermi level is 9.5 states/eV per cell. For the total energy, the calculation gives -5.807 eV/atom. Its space-group type is No. 166.

Unit cell a=9.0507 b=9.0507 c=9.0507 alpha=59.19 beta=59.19 gamma=59.19
Element x y z (fractional)
La 0.2367 0.7473 0.7473
La 0.2415 0.2415 0.2415
La 0.2527 0.2527 0.7633
La 0.2527 0.7633 0.2527
La 0.7473 0.2367 0.7473
La 0.7473 0.7473 0.2367
La 0.7585 0.7585 0.7585
La 0.7633 0.2527 0.2527
Sn 0.5000 0.5000 0.5000
Te 0.0000 0.0000 0.0000
Te 0.0000 0.5000 0.5000
Te 0.5000 0.0000 0.5000
Te 0.5000 0.5000 0.0000
Se 0.0000 0.0000 0.5000
Se 0.0000 0.5000 0.0000
Se 0.5000 0.0000 0.0000

=====

First-principles (PBE) data for crystalline TaIn2Au at its relaxed geometry, as listed in the Alexandria database.

## Properties
The density of states at the Fermi level is 3.5 states/eV per cell. The calculation puts the formation energy at 0.20 eV/atom. Its space-group type is No. 119.

Unit cell a=5.5893 b=5.5893 c=5.5893 alpha=137.01 beta=137.01 gamma=62.43
Element x y z (fractional)
Ta 0.0000 0.0000 0.0000
In 0.5000 0.5000 0.0000
In 0.7500 0.2500 0.5000
Au 0.2500 0.7500 0.5000

=====

First-principles (PBE) data for crystalline Zn3Cu5Cl12 at its relaxed geometry, as listed in the Alexandria database.

## Properties
The density of states at the Fermi level is 31.6 states/eV per cell. For the total energy, the calculation gives -2.889 eV/atom. Its space-group type is No. 230.

Unit cell a=13.4077 b=13.4077 c=13.4077 alpha=109.47 beta=109.47 gamma=109.47
Element x y z (fractional)
Zn 0.1250 0.2500 0.3750
Zn 0.1250 0.3750 0.7500
Zn 0.2500 0.3750 0.1250
Zn 0.2500 0.8750 0.6250
Zn 0.3750 0.1250 0.2500
Zn 0.3750 0.7500 0.1250
Zn 0.6250 0.2500 0.8750
Zn 0.6250 0.8750 0.7500
Zn 0.7500 0.1250 0.3750
Zn 0.7500 0.6250 0.8750
Zn 0.8750 0.6250 0.2500
Zn 0.8750 0.7500 0.6250
Cu 0.0000 0.0000 0.0000
Cu 0.0000 0.0000 0.5000
Cu 0.0000 0.5000 0.0000
Cu 0.0000 0.5000 0.5000
Cu 0.1250 0.7500 0.8750
Cu 0.1250 0.8750 0.2500
Cu 0.2500 0.1250 0.8750
Cu 0.2500 0.6250 0.3750
Cu 0.3750 0.2500 0.6250
Cu 0.3750 0.6250 0.7500
Cu 0.5000 0.0000 0.0000
Cu 0.5000 0.0000 0.5000
Cu 0.5000 0.5000 0.0000
Cu 0.5000 0.5000 0.5000
Cu 0.6250 0.3750 0.2500
Cu 0.6250 0.7500 0.3750
Cu 0.7500 0.3750 0.6250
Cu 0.7500 0.8750 0.1250
Cu 0.8750 0.1250 0.7500
Cu 0.8750 0.2500 0.1250
Cl 0.0030 0.6503 0.1627
Cl 0.0030 0.8527 0.8403
Cl 0.0123 0.1597 0.6627
Cl 0.0123 0.3527 0.3497
Cl 0.1473 0.1597 0.9970
Cl 0.1473 0.4877 0.1503
Cl 0.1503 0.1473 0.4877
Cl 0.1503 0.5030 0.6627
Cl 0.1597 0.6627 0.0123
Cl 0.1597 0.9970 0.1473
Cl 0.1627 0.0030 0.6503
Cl 0.1627 0.6597 0.5123
Cl 0.3373 0.8497 0.4970
Cl 0.3373 0.9877 0.8403
Cl 0.3403 0.3527 0.5030
Cl 0.3403 0.4877 0.8373
Cl 0.3497 0.0123 0.3527
Cl 0.3497 0.8373 0.9970
Cl 0.3527 0.3497 0.0123
Cl 0.3527 0.5030 0.3403
Cl 0.4877 0.1503 0.1473
Cl 0.4877 0.8373 0.3403
Cl 0.4970 0.3373 0.8497
Cl 0.4970 0.6597 0.6473
Cl 0.5030 0.3403 0.3527
Cl 0.5030 0.6627 0.1503
Cl 0.5123 0.1627 0.6597
Cl 0.5123 0.8497 0.8527
Cl 0.6473 0.4970 0.6597
Cl 0.6473 0.6503 0.9877
Cl 0.6503 0.1627 0.0030
Cl 0.6503 0.9877 0.6473
Cl 0.6597 0.5123 0.1627
Cl 0.6597 0.6473 0.4970
Cl 0.6627 0.0123 0.1597
Cl 0.6627 0.1503 0.5030
Cl 0.8373 0.3403 0.4877
Cl 0.8373 0.9970 0.3497
Cl 0.8403 0.0030 0.8527
Cl 0.8403 0.3373 0.9877
Cl 0.8497 0.4970 0.3373
Cl 0.8497 0.8527 0.5123
Cl 0.8527 0.5123 0.8497
Cl 0.8527 0.8403 0.0030
Cl 0.9877 0.6473 0.6503
Cl 0.9877 0.8403 0.3373
Cl 0.9970 0.1473 0.1597
Cl 0.9970 0.3497 0.8373

=====

First-principles (PBE) data for crystalline RePtSe at its relaxed geometry, as listed in the Alexandria database.

## Properties
The density of states at the Fermi level is 3.2 states/eV per cell. For the total energy, the calculation gives -6.816 eV/atom. Its space-group type is No. 42.

Unit cell a=7.8697 b=7.6336 c=2.8046 alpha=84.36 beta=74.86 gamma=20.77
Element x y z (fractional)
Re 0.0000 0.0000 0.0000
Pt 0.3464 0.3464 0.6536
Se 0.6405 0.6405 0.3595

=====

First-principles (PBE) data for crystalline PdN2F4 at its relaxed geometry, as listed in the Alexandria database.

## Properties
For the total energy, the calculation gives -4.416 eV/atom. Its space-group type is No. 2.

Unit cell a=3.2083 b=4.9120 c=7.2384 alpha=102.07 beta=102.24 gamma=101.02
Element x y z (fractional)
Pd 0.0000 0.0000 0.0000
N 0.3665 0.8232 0.8292
N 0.6335 0.1768 0.1708
F 0.2529 0.5164 0.7801
F 0.2941 0.8802 0.6429
F 0.7059 0.1198 0.3571
F 0.7471 0.4836 0.2199

=====

First-principles (PBE) data for crystalline Dy2TmCu6 at its relaxed geometry, as listed in the Alexandria database.

## Properties
The density of states at the Fermi level is 4.6 states/eV per cell. The calculation puts the formation energy at -0.26 eV/atom. Its space-group type is No. 191.

Unit cell a=7.3114 b=7.3114 c=3.5286 alpha=90.00 beta=90.00 gamma=120.00
Element x y z (fractional)
Dy 0.3333 0.6667 0.0000
Dy 0.6667 0.3333 0.0000
Tm 0.0000 0.0000 0.0000
Cu 0.0000 0.3324 0.5000
Cu 0.0000 0.6676 0.5000
Cu 0.3324 0.0000 0.5000
Cu 0.3324 0.3324 0.5000
Cu 0.6676 0.0000 0.5000
Cu 0.6676 0.6676 0.5000

=====

First-principles (PBE) data for crystalline InPbBr2 at its relaxed geometry, as listed in the Alexandria database.

## Properties
The density of states at the Fermi level is 2.4 states/eV per cell. For the total energy, the calculation gives -2.969 eV/atom. Its space-group type is No. 1.

Unit cell a=3.9050 b=6.9670 c=9.6559 alpha=89.99 beta=89.93 gamma=89.89
Element x y z (fractional)
In 0.0000 0.0000 0.0000
In 0.4839 0.5003 0.5000
Pb 0.4973 0.3503 0.0002
Pb 0.9867 0.8509 0.5002
Br 0.4972 0.2161 0.3039
Br 0.4984 0.2163 0.6964
Br 0.9956 0.7163 0.1966
Br 0.9968 0.7161 0.8037

=====

First-principles (PBE) data for crystalline Cr2BiIr at its relaxed geometry, as listed in the Alexandria database.

## Properties
The density of states at the Fermi level is 9.5 states/eV per cell. The calculation puts the formation energy at 0.91 eV/atom. Its space-group type is No. 122.

Unit cell a=8.6006 b=8.6006 c=8.6006 alpha=149.75 beta=149.75 gamma=43.31
Element x y z (fractional)
Cr 0.0368 0.6250 0.9118
Cr 0.3750 0.2868 0.4118
Cr 0.7132 0.1250 0.0882
Cr 0.8750 0.9632 0.5882
Bi 0.2500 0.7500 0.5000
Bi 0.5000 0.5000 0.0000
Ir 0.0000 0.0000 0.0000
Ir 0.7500 0.2500 0.5000

=====

First-principles (PBE) data for crystalline ScFeAs2 at its relaxed geometry, as listed in the Alexandria database.

## Properties
The density of states at the Fermi level is 2.4 states/eV per cell. The calculation puts the formation energy at -0.40 eV/atom. Its space-group type is No. 71.

Unit cell a=4.6403 b=4.6403 c=4.6403 alpha=130.96 beta=109.74 gamma=90.38
Element x y z (fractional)
Sc 0.0000 0.0000 0.0000
Fe 0.5000 0.5000 0.0000
As 0.2877 0.7877 0.5000
As 0.7123 0.2123 0.5000

=====

First-principles (PBE) data for crystalline KAgF3 at its relaxed geometry, as listed in the Alexandria database.

## Properties
The density of states at the Fermi level is 1.9 states/eV per cell. For the total energy, the calculation gives -3.744 eV/atom. Its space-group type is No. 12.

Unit cell a=6.4856 b=6.4856 c=7.1108 alpha=104.08 beta=104.08 gamma=38.77
Element x y z (fractional)
K 0.1240 0.1240 0.3714
K 0.8760 0.8760 0.6286
Ag 0.3754 0.3754 0.1146
Ag 0.6246 0.6246 0.8854
F 0.1197 0.1197 0.8784
F 0.3490 0.3490 0.3908
F 0.3958 0.3958 0.8350
F 0.6042 0.6042 0.1650
F 0.6510 0.6510 0.6092
F 0.8803 0.8803 0.1216

=====

First-principles (PBE) data for crystalline PuFeSiOs at its relaxed geometry, as listed in the Alexandria database.

## Properties
The density of states at the Fermi level is 7.3 states/eV per cell. For the total energy, the calculation gives -9.995 eV/atom. Its space-group type is No. 160.

Unit cell a=5.2071 b=5.2071 c=5.2071 alpha=48.44 beta=48.44 gamma=48.44
Element x y z (fractional)
Pu 0.0000 0.0000 0.0000
Fe 0.8162 0.8162 0.8162
Si 0.5129 0.5129 0.5129
Os 0.1967 0.1967 0.1967

=====

First-principles (PBE) data for crystalline TlSnPbAu at its relaxed geometry, as listed in the Alexandria database.

## Properties
The density of states at the Fermi level is 1.4 states/eV per cell. The calculation puts the formation energy at 0.06 eV/atom. Its space-group type is No. 216.

Unit cell a=5.2908 b=5.2908 c=5.2908 alpha=60.00 beta=60.00 gamma=60.00
Element x y z (fractional)
Tl 0.0000 0.0000 0.0000
Sn 0.7500 0.7500 0.7500
Pb 0.2500 0.2500 0.2500
Au 0.5000 0.5000 0.5000